Material: RbCu3ReS4
Method: DFT, GGA-PBE
State: relaxed

Summary:
SG = P-43m
Calculated total energy = -42.28 eV/cell

Cell and atoms, written as POSCAR:
```
RbCu3ReS4
1.0
-2.589 3.787 -3.793
-1.985 -4.590 -3.228
-4.979 -0.140 3.259
Re Cu S Rb
1 3 4 1
Direct
0.500 0.500 0.500
0.500 0.000 0.500
0.500 0.500 0.000
0.000 0.500 0.500
0.282 0.282 0.282
0.282 0.718 0.718
0.718 0.718 0.282
0.718 0.282 0.718
0.000 0.000 0.000
```